Entry 1:
Ag2HgAsO4 | PBE | relaxed

The raw formation energy is -0.562 eV per atom.

Cell lengths 6.8667, 7.8550, 9.8168 Å; angles 90.00, 90.00, 90.00 degrees
Last column: nearest neighbours and their distance in Å.
Space group Fmm2 (No. 42)
Asymmetric unit:
1 Ag 0.2500 0.2500 0.0000 [8 per cell]  4 O 2.39-2.40
2 Hg 0.0000 0.0000 0.2970 [4 per cell]  4 O 2.54-2.55
3 As 0.0000 0.0000 0.7391 [4 per cell]  4 O 1.73-1.75
4 O 0.0000 0.1801 0.8403 [8 per cell]  1 As 1.73
5 O 0.2100 0.0000 0.6372 [8 per cell]  1 As 1.75


Entry 2:
AgHgAs2O6 | PBE | relaxed

The raw formation energy is -0.784 eV per atom.

Cell lengths 12.2180, 10.1895, 5.2677 Å; angles 90.00, 103.72, 90.00 degrees
Last column: nearest neighbours and their distance in Å.
Space group C2/c (No. 15)
Asymmetric unit:
1 Ag 0.0000 0.2417 0.2500 [4 per cell]  2 O 2.24
2 Hg 0.0000 0.0691 0.7500 [4 per cell]  6 O 2.65-2.75
3 As 0.1918 0.4075 0.7510 [8 per cell]  4 O 1.68-1.82
4 O 0.1185 0.2703 0.6416 [8 per cell]  1 As 1.69
5 O 0.1381 0.4595 0.0262 [8 per cell]  2 As 1.81-1.82
6 O 0.1665 0.0972 0.1750 [8 per cell]  1 As 1.68


Entry 3:
Ag8HgAs2O10 | PBE | relaxed

The raw formation energy is -0.424 eV per atom.

Cell lengths 6.0322, 6.0322, 22.2868 Å; angles 90.00, 90.00, 120.00 degrees
Last column: nearest neighbours and their distance in Å.
Space group P31c (No. 159)
Asymmetric unit:
1 Ag 0.0117 0.3623 0.0000 [6 per cell]  3 O 2.24-2.44
2 Ag 0.0587 0.6793 0.2451 [6 per cell]  3 O 2.26-2.41
3 Ag 0.3333 0.6667 0.1364 [2 per cell]  3 O 2.34
4 Ag 0.3333 0.6667 0.4081 [2 per cell]  3 O 2.34
5 Hg 0.3333 0.6667 0.8530 [2 per cell]  2 O 2.07-2.09
6 As 0.0000 0.0000 0.1208 [2 per cell]  4 O 1.73-1.75
7 As 0.0000 0.0000 0.3705 [2 per cell]  4 O 1.73-1.74
8 O 0.0000 0.0000 0.1992 [2 per cell]  1 As 1.75
9 O 0.0000 0.0000 0.4486 [2 per cell]  1 As 1.74
10 O 0.0079 0.2783 0.0978 [6 per cell]  1 As 1.73
11 O 0.1361 0.3113 0.3441 [6 per cell]  1 As 1.73
12 O 0.3333 0.6667 0.7592 [2 per cell]  1 Hg 2.09, 3 Ag 2.26
13 O 0.3333 0.6667 0.9460 [2 per cell]  1 Hg 2.07, 3 Ag 2.24


Entry 4:
AgHg2AsOs | PBE | relaxed

The calculation puts the energy relative to the elements at 1.04 eV per atom.

Cell lengths 5.2589, 5.2589, 4.5852 Å; angles 90.00, 90.00, 90.00 degrees
Last column: nearest neighbours and their distance in Å.
Space group P4/mmm (No. 123)
Asymmetric unit:
1 Ag 0.0000 0.0000 0.0000 [1 per cell]  8 Hg 3.49, 4 Os 3.72
2 Hg 0.0000 0.5000 0.5000 [2 per cell]  2 As 2.63
3 As 0.5000 0.5000 0.5000 [1 per cell]  2 Os 2.29
4 Os 0.5000 0.5000 0.0000 [1 per cell]  2 As 2.29


The records above give, respectively, density of states at the Fermi level values of 2.07; 0.59; 10.59; 1.95 states/eV/f.u..
The records above give, respectively, energy values of -4.37; -5.00; -4.33; -2.83 eV/atom.